An optimized crystal structure of NiAs3N, computed with PBE-GGA.

Lattice parameters (Å, degrees): 4.258 4.258 4.258 90.00 90.00 90.00
Fractional positions:
Ni (0.000, 0.000, 0.000)
As (0.000, 0.500, 0.500)
As (0.500, 0.000, 0.500)
As (0.500, 0.500, 0.000)
N (0.500, 0.500, 0.500)

---

An optimized crystal structure of Ni3AsN, computed with PBE-GGA.

Lattice parameters (Å, degrees): 3.832 3.832 3.832 90.00 90.00 90.00
Fractional positions:
Ni (0.000, 0.000, 0.500)
Ni (0.000, 0.500, 0.000)
Ni (0.500, 0.000, 0.000)
As (0.500, 0.500, 0.500)
N (0.000, 0.000, 0.000)

---

An optimized crystal structure of NiAs2N2, computed with PBE-GGA.

Lattice parameters (Å, degrees): 6.512 6.512 3.029 90.00 90.00 90.00
Fractional positions:
Ni (0.000, 0.000, 0.000)
Ni (0.500, 0.500, 0.000)
As (0.176, 0.324, 0.500)
As (0.324, 0.824, 0.500)
As (0.676, 0.176, 0.500)
As (0.824, 0.676, 0.500)
N (0.197, 0.697, 0.000)
N (0.303, 0.197, 0.000)
N (0.697, 0.803, 0.000)
N (0.803, 0.303, 0.000)

---

An optimized crystal structure of Ni2As2N, computed with PBE-GGA.

Lattice parameters (Å, degrees): 6.141 6.141 3.547 90.00 90.00 90.00
Fractional positions:
Ni (0.135, 0.365, 0.000)
Ni (0.365, 0.865, 0.000)
Ni (0.635, 0.135, 0.000)
Ni (0.865, 0.635, 0.000)
As (0.180, 0.680, 0.500)
As (0.320, 0.180, 0.500)
As (0.680, 0.820, 0.500)
As (0.820, 0.320, 0.500)
N (0.000, 0.000, 0.500)
N (0.500, 0.500, 0.500)

---

An optimized crystal structure of NiAs2N2, computed with PBE-GGA.

Lattice parameters (Å, degrees): 4.625 4.625 4.625 122.23 122.23 86.17
Fractional positions:
Ni (0.000, 0.000, 0.000)
As (0.250, 0.750, 0.500)
As (0.750, 0.250, 0.500)
N (0.414, 0.414, 0.000)
N (0.586, 0.586, 0.000)

---

An optimized crystal structure of Ni2AsN, computed with PBE-GGA.

Lattice parameters (Å, degrees): 3.942 3.942 3.942 60.00 60.00 60.00
Fractional positions:
Ni (0.250, 0.250, 0.250)
Ni (0.750, 0.750, 0.750)
As (0.000, 0.000, 0.000)
N (0.500, 0.500, 0.500)

---

Values of ΔE_f (raw), in order: 0.8033, 0.0352, 0.7394, 0.7622, 0.8297, 0.6444, all in eV per atom.
Values of total energy, in order: -4.81, -6.03, -5.61, -5.08, -5.52, -5.49, all in eV per atom.